Model A:
{"formula": "SrOs2W", "functional": "GGA-PBE", "state": "optimized geometry", "sg": "P4/mmm, No. 123", "dos_at_fermi_per_ev_fu": 3.0, "mass_density_g_cm3": 14.297, "cell": [[-0.215, -1.785, 2.547], [3.106, -0.267, 0.075], [0.438, 6.351, 4.487]], "species": ["Os", "Os", "Sr", "W"], "frac_coords": [[0.000, 0.000, 0.943], [0.000, 0.000, 0.557], [0.500, 0.500, 0.250], [0.500, 0.500, 0.750]]}

Model B:
{"formula": "SrOs2W", "functional": "GGA-PBE", "state": "optimized geometry", "sg": "Pmmm, No. 47", "dos_at_fermi_per_ev_fu": 4.8, "mass_density_g_cm3": 15.303, "cell": [[-1.189, 2.530, -1.015], [-3.827, -0.535, 3.148], [2.389, 2.455, 3.322]], "species": ["Os", "Os", "Sr", "W"], "frac_coords": [[0.000, 0.000, 0.000], [0.500, 0.500, 0.000], [0.500, 0.000, 0.500], [0.000, 0.500, 0.500]]}

Model C:
{"formula": "SrOs2W", "functional": "GGA-PBE", "state": "optimized geometry", "sg": "P4mm, No. 99", "dos_at_fermi_per_ev_fu": 4.7, "mass_density_g_cm3": 14.679, "cell": [[2.825, 0.008, 0.000], [-0.008, 2.825, 0.000], [0.000, 0.000, 9.242]], "species": ["Os", "Os", "Sr", "W"], "frac_coords": [[0.000, 0.000, 0.022], [0.500, 0.500, 0.202], [0.000, 0.000, 0.484], [0.500, 0.500, 0.792]]}

Energies, relative to the best one, in meV/atom: model A 0; model B 832; model C 267.

Model A:
{"formula": "SrOs2W", "functional": "GGA-PBE", "state": "optimized geometry", "sg": "R-3m, No. 166", "dos_at_fermi_per_ev_fu": 3.0, "mass_density_g_cm3": 15.305, "cell": [[-6.778, -2.298, 6.898], [-5.193, -4.706, 7.050], [-4.429, -2.377, 8.575]], "species": ["Os", "Os", "Sr", "W"], "frac_coords": [[0.011, 0.011, 0.011], [0.489, 0.489, 0.489], [0.250, 0.250, 0.250], [0.750, 0.750, 0.750]]}

Model B:
{"formula": "SrOs2W", "functional": "GGA-PBE", "state": "optimized geometry", "sg": "C2/m, No. 12", "dos_at_fermi_per_ev_fu": 2.9, "mass_density_g_cm3": 12.712, "cell": [[-4.351, 1.775, -0.742], [-4.627, -0.896, 0.646], [-1.189, 2.999, 5.533]], "species": ["Os", "Os", "Sr", "W"], "frac_coords": [[0.975, 0.975, 0.097], [0.525, 0.525, 0.403], [0.750, 0.750, 0.750], [0.250, 0.250, 0.250]]}

Energies, relative to the best one, in meV/atom: model A 106; model B 0.

Model A:
{"formula": "SrOsW3", "functional": "GGA-PBE", "state": "optimized geometry", "sg": "Pm-3m, No. 221", "dos_at_fermi_per_ev_fu": 5.8, "mass_density_g_cm3": 11.798, "cell": [[4.887, 0.000, 0.000], [0.000, 4.887, 0.000], [0.000, 0.000, 4.887]], "species": ["Sr", "Os", "W", "W", "W"], "frac_coords": [[0.500, 0.500, 0.500], [0.000, 0.000, 0.000], [0.000, 0.500, 0.000], [0.000, 0.000, 0.500], [0.500, 0.000, 0.000]]}

Model B:
{"formula": "SrOsW3", "functional": "GGA-PBE", "state": "optimized geometry", "sg": "Pm-3m, No. 221", "dos_at_fermi_per_ev_fu": 7.4, "mass_density_g_cm3": 13.839, "cell": [[4.634, 0.000, 0.000], [0.000, 4.634, 0.000], [0.000, 0.000, 4.634]], "species": ["Sr", "Os", "W", "W", "W"], "frac_coords": [[0.000, 0.000, 0.000], [0.500, 0.500, 0.500], [0.000, 0.500, 0.000], [0.000, 0.000, 0.500], [0.500, 0.000, 0.000]]}

Energies, relative to the best one, in meV/atom: model A 0; model B 2335.